Computed, not measured: a crystal of LaRh4Pb relaxed with PBEsol at the SCAN level of DFT.

Output
**DFT formation energy**: -0.369 eV per atom
**Raw total energy**: -3.138 Ry/atom
**Crystal system**: cubic
**Total magnetic moment**: 0.0 μB per formula unit

Cell lengths 5.317, 5.317, 5.317 Å; angles 60.00, 60.00, 60.00 degrees
Positions (direct):
La  0.000  0.000  0.000
Rh  0.128  0.624  0.624
Rh  0.624  0.128  0.624
Rh  0.624  0.624  0.128
Rh  0.624  0.624  0.624
Pb  0.250  0.250  0.250

---

Computed, not measured: a crystal of LaRhPb3 relaxed with PBEsol at the SCAN level of DFT.

Output
**DFT formation energy**: 1.305 eV per atom
**Raw total energy**: -4.376 Ry/atom
**Crystal system**: cubic
**Total magnetic moment**: 1.4 μB per formula unit

Cell lengths 5.862, 5.862, 5.862 Å; angles 90.00, 90.00, 90.00 degrees
Positions (direct):
La  0.000  0.000  0.000
Rh  0.500  0.500  0.500
Pb  0.000  0.000  0.500
Pb  0.000  0.500  0.000
Pb  0.500  0.000  0.000

---

Computed, not measured: a crystal of La2RuPb relaxed with PBEsol at the SCAN level of DFT.

Output
**DFT formation energy**: -0.541 eV per atom
**Raw total energy**: -3.656 Ry/atom
**Crystal system**: orthorhombic
**Total magnetic moment**: 0.0 μB per formula unit

Cell lengths 4.218, 5.969, 5.969 Å; angles 46.52, 90.00, 90.00 degrees
Positions (direct):
La  0.000  0.000  0.000
La  0.500  0.311  0.311
Ru  0.500  0.525  0.525
Pb  0.000  0.705  0.705

---

Computed, not measured: a crystal of La2RuPb relaxed with PBEsol at the SCAN level of DFT.

Output
**DFT formation energy**: -0.503 eV per atom
**Raw total energy**: -3.653 Ry/atom
**Crystal system**: tetragonal
**Total magnetic moment**: 0.0 μB per formula unit

Cell lengths 3.437, 3.437, 8.768 Å; angles 90.00, 90.00, 90.00 degrees
Positions (direct):
La  0.000  0.000  0.200
La  0.000  0.000  0.800
Ru  0.500  0.500  0.000
Pb  0.500  0.500  0.500

---

Computed, not measured: a crystal of La3RuPb relaxed with PBEsol at the SCAN level of DFT.

Output
**Offset from the most stable computed form**: 1.0 kJ per mole of atoms
**DFT formation energy**: -0.609 eV per atom
**Raw total energy**: -3.572 Ry/atom
**Crystal system**: cubic
**Total magnetic moment**: 0.0 μB per formula unit

Cell lengths 5.377, 5.377, 5.377 Å; angles 90.00, 90.00, 90.00 degrees
Positions (direct):
La  0.000  0.000  0.500
La  0.000  0.500  0.000
La  0.500  0.000  0.000
Ru  0.000  0.000  0.000
Pb  0.500  0.500  0.500

---

Computed, not measured: a crystal of LaRu3Pb relaxed with PBEsol at the SCAN level of DFT.

Output
**DFT formation energy**: 1.666 eV per atom
**Raw total energy**: -3.161 Ry/atom
**Crystal system**: cubic
**Total magnetic moment**: 2.4 μB per formula unit

Cell lengths 4.794, 4.794, 4.794 Å; angles 90.00, 90.00, 90.00 degrees
Positions (direct):
La  0.000  0.000  0.000
Ru  0.000  0.000  0.500
Ru  0.000  0.500  0.000
Ru  0.500  0.000  0.000
Pb  0.500  0.500  0.500

---

Repeat the fifth record exactly.
Computed, not measured: a crystal of La3RuPb relaxed with PBEsol at the SCAN level of DFT.

Output
**Offset from the most stable computed form**: 1.0 kJ per mole of atoms
**DFT formation energy**: -0.609 eV per atom
**Raw total energy**: -3.572 Ry/atom
**Crystal system**: cubic
**Total magnetic moment**: 0.0 μB per formula unit

Cell lengths 5.377, 5.377, 5.377 Å; angles 90.00, 90.00, 90.00 degrees
Positions (direct):
La  0.000  0.000  0.500
La  0.000  0.500  0.000
La  0.500  0.000  0.000
Ru  0.000  0.000  0.000
Pb  0.500  0.500  0.500

---

- What is the formula in the fifth record?
  La3RuPb